A geometry-optimized In2GaMo structure. Source: OQMD, functional PBE.

The calculation puts the total energy at -4.199 eV per atom. For the volume, the calculation gives 315 Å³ per cell.

The structure belongs to space group F-43m (No. 216); the cell edges are 6.8052, 6.8052 and 6.8052 Å and the angles 90.00°, 90.00° and 90.00°. Symmetry generates all atoms from In at (0.0000, 0.0000, 0.0000), In at (0.2500, 0.2500, 0.2500), Ga at (0.2500, 0.2500, 0.7500) and Mo at (0.0000, 0.0000, 0.5000).

A geometry-optimized Nb4InGaN2 structure. Source: OQMD, functional PBE.

The calculation puts the total energy at -8.440 eV per atom. For the volume, the calculation gives 118 Å³ per cell.

The structure belongs to space group P-6m2 (No. 187); the cell edges are 3.0427, 3.0427 and 14.6964 Å and the angles 90.00°, 90.00° and 120.00°. Symmetry generates all atoms from Nb at (0.0000, 0.0000, 0.1497), Nb at (0.6667, 0.3333, 0.3327), In at (0.0000, 0.0000, 0.5000), Ga at (0.6667, 0.3333, 0.0000) and N at (0.3333, 0.6667, 0.2413).

A geometry-optimized Ta4InGaN2 structure. Source: OQMD, functional PBE.

The calculation puts the total energy at -9.248 eV per atom. For the volume, the calculation gives 116 Å³ per cell.

The structure belongs to space group P-6m2 (No. 187); the cell edges are 3.0028, 3.0028 and 14.8172 Å and the angles 90.00°, 90.00° and 120.00°. Symmetry generates all atoms from Ta at (0.0000, 0.0000, 0.1489), Ta at (0.3333, 0.6667, 0.3340), In at (0.0000, 0.0000, 0.5000), Ga at (0.3333, 0.6667, 0.0000) and N at (0.6667, 0.3333, 0.2413).

A geometry-optimized Zr4InGaN2 structure. Source: OQMD, functional PBE.

The calculation puts the total energy at -8.181 eV per atom. For the volume, the calculation gives 135 Å³ per cell.

The structure belongs to space group P-6m2 (No. 187); the cell edges are 3.2886, 3.2886 and 14.4547 Å and the angles 90.00°, 90.00° and 120.00°. Symmetry generates all atoms from Zr at (0.0000, 0.0000, 0.1544), Zr at (0.3333, 0.6667, 0.3290), In at (0.0000, 0.0000, 0.5000), Ga at (0.3333, 0.6667, 0.0000) and N at (0.6667, 0.3333, 0.2422).

A geometry-optimized Na2Zn2InGaPd2 structure. Source: OQMD, functional PBE.

The calculation puts the total energy at -2.878 eV per atom. For the volume, the calculation gives 139 Å³ per cell.

The structure belongs to space group P-4m2 (No. 115); the cell edges are 4.5841, 4.5841 and 6.6136 Å and the angles 90.00°, 90.00° and 90.00°. Symmetry generates all atoms from Na at (0.0000, 0.5000, 0.2397), Zn at (0.0000, 0.0000, 0.0000), Zn at (0.5000, 0.5000, 0.5000), In at (0.0000, 0.0000, 0.5000), Ga at (0.5000, 0.5000, 0.0000) and Pd at (0.0000, 0.5000, 0.7646).

A geometry-optimized Na4InGaPt2 structure. Source: OQMD, functional PBE.

The calculation puts the total energy at -3.115 eV per atom. For the volume, the calculation gives 154 Å³ per cell.

The structure belongs to space group P-4m2 (No. 115); the cell edges are 4.7483, 4.7483 and 6.8288 Å and the angles 90.00°, 90.00° and 90.00°. Symmetry generates all atoms from Na at (0.0000, 0.0000, 0.0000), Na at (0.0000, 0.5000, 0.7357), Na at (0.5000, 0.5000, 0.5000), In at (0.5000, 0.5000, 0.0000), Ga at (0.0000, 0.0000, 0.5000) and Pt at (0.0000, 0.5000, 0.2630).

A geometry-optimized Na4Zn2InGa structure. Source: OQMD, functional PBE.

The calculation puts the total energy at -1.714 eV per atom. For the volume, the calculation gives 173 Å³ per cell.

The structure belongs to space group P-4m2 (No. 115); the cell edges are 4.9425, 4.9425 and 7.0690 Å and the angles 90.00°, 90.00° and 90.00°. Symmetry generates all atoms from Na at (0.0000, 0.0000, 0.0000), Na at (0.0000, 0.5000, 0.2364), Na at (0.5000, 0.5000, 0.5000), Zn at (0.0000, 0.5000, 0.7624), In at (0.0000, 0.0000, 0.5000) and Ga at (0.5000, 0.5000, 0.0000).

A geometry-optimized Nb5In2Ga structure. Source: OQMD, functional PBE.

The calculation puts the total energy at -7.452 eV per atom. For the volume, the calculation gives 596 Å³ per cell.

The structure belongs to space group I4/mcm (No. 140); the cell edges are 10.8023, 10.8023 and 5.1097 Å and the angles 90.00°, 90.00° and 90.00°. Symmetry generates all atoms from Nb at (0.0000, 0.5000, 0.2500), Nb at (0.0696, 0.2152, 0.0000), In at (0.1697, 0.3303, 0.5000) and Ga at (0.0000, 0.0000, 0.2500).